Sm3AlN | PBEsol | optimized geometry

It has space group Pm-3m (No. 221), with a = 4.854 Å, b = 4.854 Å, c = 4.854 Å, α = 90.00°, β = 90.00° and γ = 90.00°. The asymmetric unit holds Sm at (0.000, 0.000, 0.500), Al at (0.500, 0.500, 0.500) and N at (0.000, 0.000, 0.000).

The energy relative to the elements, uncorrected is -887 meV per atom. For the total DFT energy (no corrections), the calculation gives -6.47 eV per atom. The calculation puts the theoretical density at 7143 kg/m³. The magnetic moment comes out at 0.00 μB/cell.